Below is a relaxed structure of Pm4Tl2In, with properties calculated at the PBE level.

Output
ΔE to the lowest computed polymorph ... 264 meV per atom
N(E_F) ... 9.6 states/eV/f.u.
Space-group type ... No. 139
Raw total energy ... -26.608 eV for the cell shown
E_form ... -0.019 eV/atom
Total magnetic moment ... 0.000 μB/atom

Unit cell a=5.9442 b=5.9442 c=7.8275 alpha=112.32 beta=112.32 gamma=90.00
Closest atoms and distances in Å follow each position.
Positions (direct):
1 Pm 0.0000 0.5000 0.0000  2 In 2.97, 2 Pm 3.30
2 Pm 0.7500 0.2500 0.5000  2 Pm 3.30, 4 Tl 3.38
3 Pm 0.2500 0.7500 0.5000  2 Pm 3.30, 4 Tl 3.38
4 Pm 0.5000 0.0000 0.0000  2 In 2.97, 2 Pm 3.30
5 Tl 0.6287 0.6287 0.2575  8 Pm 3.38-3.42, 1 Tl 3.40
6 Tl 0.3713 0.3713 0.7425  8 Pm 3.38-3.42, 1 Tl 3.40
7 In 0.0000 0.0000 0.0000  4 Pm 2.97